VASP calculation (PBE-GGA) on crystalline Sr2SnSb2 at its relaxed geometry.

Output
space group	Ibam (72)
formation energy from raw total energies	-0.62	eV per atom
energy relative to the lowest polymorph listed for this composition	86	meV per atom
final energy	-3.744	eV per atom

Cell: 7.1420 7.5022 8.6777 Å, 115.61 114.30 90.00°
With the nearest neighbours (Å) after each atom.
Atoms (fractional coordinates):
Sb 0.1241 0.8679 0.2483  2 Sn 3.09, 2 Sr 3.34
Sb 0.3759 0.6197 0.7517  2 Sn 3.09, 2 Sr 3.34
Sb 0.6241 0.3803 0.2483  2 Sn 3.09, 2 Sr 3.34
Sb 0.8759 0.1321 0.7517  2 Sn 3.09, 2 Sr 3.34
Sr 0.1379 0.3260 0.2758  5 Sb 3.34-3.68, 2 Sn 3.51
Sr 0.8621 0.6740 0.7242  5 Sb 3.34-3.68, 2 Sn 3.51
Sr 0.3621 0.0502 0.7242  5 Sb 3.34-3.68, 2 Sn 3.51
Sr 0.6379 0.9498 0.2758  5 Sb 3.34-3.68, 2 Sn 3.51
Sn 0.7500 0.5000 0.0000  4 Sb 3.09
Sn 0.2500 0.5000 0.0000  4 Sb 3.09